Entry from Alexandria: an optimized crystal structure of NbTeRh2 (PBE-GGA).

Results
Raw formation energy   0.25 eV per atom

CIF file:
```
data_NbTeRh2
_chemical_formula_sum 'Nb4 Te4 Rh8'
_space_group_name_H-M_alt 'I -4 2 d'
_space_group_IT_number 122
_space_group_name_Hall 'I -4 2bw'
_cell_length_a 5.799
_cell_length_b 5.799
_cell_length_c 11.662
_cell_angle_alpha 90.00
_cell_angle_beta 90.00
_cell_angle_gamma 90.00
loop_
_atom_site_label
_atom_site_type_symbol
_atom_site_fract_x
_atom_site_fract_y
_atom_site_fract_z
Nb1 Nb 0.000 0.000 0.000
Te1 Te 0.000 0.000 0.500
Rh1 Rh 0.237 0.250 0.125
```